Entry 1:
# Ba2GaRhO4 | the Alexandria database | PBE-GGA | optimized geometry
data_Ba2GaRhO4
_cell_length_a 10.7776
_cell_length_b 9.3305
_cell_length_c 6.8068
_cell_angle_alpha 82.20
_cell_angle_beta 59.06
_cell_angle_gamma 38.74
_space_group_name_H-M_alt 'P 1'
_space_group_IT_number 1
_space_group_name_Hall 'P 1'
loop_
_atom_site_label
_atom_site_type_symbol
_atom_site_fract_x
_atom_site_fract_y
_atom_site_fract_z
Ba1 Ba 0.0506 0.0506 0.6994
Ba2 Ba 0.3006 0.3006 0.9494
Ba3 Ba 0.6994 0.6994 0.0506
Ba4 Ba 0.9494 0.9494 0.3006
Ga1 Ga 0.3750 0.3750 0.3750
Ga2 Ga 0.6250 0.6250 0.6250
Rh1 Rh 0.1250 0.1250 0.1250
Rh2 Rh 0.8750 0.8750 0.8750
O1 O 0.0184 0.6779 0.5235
O2 O 0.2801 0.5235 0.6779
O3 O 0.3221 0.9816 0.7199
O4 O 0.4765 0.7199 0.9816
O5 O 0.5235 0.2801 0.0184
O6 O 0.6779 0.0184 0.2801
O7 O 0.7199 0.4765 0.3221
O8 O 0.9816 0.3221 0.4765
# Formation energy (no corrections) = -1.583 eV per atom
# Space-group type = Fddd (70)
# Crystal system = orthorhombic

Entry 2:
# Dy5Y4Sc3 | the Alexandria database | PBE-GGA | optimized geometry
data_Dy5Y4Sc3
_cell_length_a 8.4694
_cell_length_b 8.4694
_cell_length_c 9.1047
_cell_angle_alpha 115.82
_cell_angle_beta 115.82
_cell_angle_gamma 39.43
_space_group_name_H-M_alt 'P 1'
_space_group_IT_number 1
_space_group_name_Hall 'P 1'
loop_
_atom_site_label
_atom_site_type_symbol
_atom_site_fract_x
_atom_site_fract_y
_atom_site_fract_z
Dy1 Dy 0.0000 0.0000 0.0000
Dy2 Dy 0.3260 0.3260 0.6212
Dy3 Dy 0.4252 0.4252 0.2893
Dy4 Dy 0.5748 0.5748 0.7107
Dy5 Dy 0.6740 0.6740 0.3788
Y1 Y 0.0811 0.0811 0.4387
Y2 Y 0.2157 0.2157 0.8787
Y3 Y 0.7843 0.7843 0.1213
Y4 Y 0.9189 0.9189 0.5613
Sc1 Sc 0.2138 0.2138 0.2340
Sc2 Sc 0.5000 0.5000 0.0000
Sc3 Sc 0.7862 0.7862 0.7660
# Space-group type = C2/m (12)
# Crystal system = monoclinic
# Energy of formation = 0.21 eV/atom

Entry 3:
# TiCrSn2Ir | the Alexandria database | PBE-GGA | optimized geometry
data_TiCrSn2Ir
_cell_length_a 5.0907
_cell_length_b 5.0907
_cell_length_c 4.8278
_cell_angle_alpha 90.00
_cell_angle_beta 90.00
_cell_angle_gamma 90.00
_space_group_name_H-M_alt 'P 1'
_space_group_IT_number 1
_space_group_name_Hall 'P 1'
loop_
_atom_site_label
_atom_site_type_symbol
_atom_site_fract_x
_atom_site_fract_y
_atom_site_fract_z
Ti1 Ti 0.0000 0.0000 0.0000
Cr1 Cr 0.5000 0.5000 0.0000
Sn1 Sn 0.0000 0.5000 0.5000
Sn2 Sn 0.5000 0.0000 0.5000
Ir1 Ir 0.0000 0.0000 0.5000
# Space-group type = P4/mmm (123)
# Crystal system = tetragonal
# Energy of formation = 0.63 eV/atom

Entry 4:
# SiBAs2 | the Alexandria database | PBE-GGA | optimized geometry
data_SiBAs2
_cell_length_a 4.4049
_cell_length_b 4.4049
_cell_length_c 4.4049
_cell_angle_alpha 60.00
_cell_angle_beta 60.00
_cell_angle_gamma 60.00
_space_group_name_H-M_alt 'P 1'
_space_group_IT_number 1
_space_group_name_Hall 'P 1'
loop_
_atom_site_label
_atom_site_type_symbol
_atom_site_fract_x
_atom_site_fract_y
_atom_site_fract_z
Si1 Si 0.0000 0.0000 0.0000
B1 B 0.5000 0.5000 0.5000
As1 As 0.2500 0.2500 0.2500
As2 As 0.7500 0.7500 0.7500
# Energy above the lowest structure with this stoichiometry = 829.2 meV per atom
# Formation energy (no corrections) = 1.078 eV per atom
# Space-group type = Fm-3m (225)
# Crystal system = cubic

Entry 5:
# ErTm5Rh2 | the Alexandria database | PBE-GGA | optimized geometry
data_ErTm5Rh2
_cell_length_a 6.7453
_cell_length_b 6.7453
_cell_length_c 17.7571
_cell_angle_alpha 90.00
_cell_angle_beta 90.00
_cell_angle_gamma 147.84
_space_group_name_H-M_alt 'P 1'
_space_group_IT_number 1
_space_group_name_Hall 'P 1'
loop_
_atom_site_label
_atom_site_type_symbol
_atom_site_fract_x
_atom_site_fract_y
_atom_site_fract_z
Er1 Er 0.2280 0.7720 0.7500
Er2 Er 0.7720 0.2280 0.2500
Tm1 Tm 0.0462 0.9538 0.2500
Tm2 Tm 0.1717 0.8283 0.5593
Tm3 Tm 0.1717 0.8283 0.9407
Tm4 Tm 0.4397 0.5603 0.5880
Tm5 Tm 0.4397 0.5603 0.9120
Tm6 Tm 0.5603 0.4397 0.0880
Tm7 Tm 0.5603 0.4397 0.4120
Tm8 Tm 0.8283 0.1717 0.0593
Tm9 Tm 0.8283 0.1717 0.4407
Tm10 Tm 0.9538 0.0462 0.7500
Rh1 Rh 0.2012 0.7988 0.1370
Rh2 Rh 0.2012 0.7988 0.3630
Rh3 Rh 0.7988 0.2012 0.6370
Rh4 Rh 0.7988 0.2012 0.8630
# Space-group type = Cmcm (63)
# Crystal system = orthorhombic
# Energy of formation = -0.45 eV/atom

Entry 6:
# SrHg2Sb2 | the Alexandria database | PBE-GGA | optimized geometry
data_SrHg2Sb2
_cell_length_a 8.5648
_cell_length_b 8.5648
_cell_length_c 3.8885
_cell_angle_alpha 90.00
_cell_angle_beta 90.00
_cell_angle_gamma 90.00
_space_group_name_H-M_alt 'P 1'
_space_group_IT_number 1
_space_group_name_Hall 'P 1'
loop_
_atom_site_label
_atom_site_type_symbol
_atom_site_fract_x
_atom_site_fract_y
_atom_site_fract_z
Sr1 Sr 0.0000 0.0000 0.0000
Sr2 Sr 0.5000 0.5000 0.0000
Hg1 Hg 0.1198 0.3802 0.0000
Hg2 Hg 0.3802 0.8802 0.0000
Hg3 Hg 0.6198 0.1198 0.0000
Hg4 Hg 0.8802 0.6198 0.0000
Sb1 Sb 0.1861 0.6861 0.5000
Sb2 Sb 0.3139 0.1861 0.5000
Sb3 Sb 0.6861 0.8139 0.5000
Sb4 Sb 0.8139 0.3139 0.5000
# Formation energy (no corrections) = -0.259 eV per atom
# Space-group type = P4/mbm (127)
# Crystal system = tetragonal

Entry 7:
# LaNd6Co2 | the Alexandria database | PBE-GGA | optimized geometry
data_LaNd6Co2
_cell_length_a 8.8273
_cell_length_b 8.8273
_cell_length_c 8.8273
_cell_angle_alpha 113.23
_cell_angle_beta 109.23
_cell_angle_gamma 106.03
_space_group_name_H-M_alt 'P 1'
_space_group_IT_number 1
_space_group_name_Hall 'P 1'
loop_
_atom_site_label
_atom_site_type_symbol
_atom_site_fract_x
_atom_site_fract_y
_atom_site_fract_z
La1 La 0.0000 0.0000 0.0000
La2 La 0.5000 0.0000 0.5000
Nd1 Nd 0.0070 0.7782 0.2288
Nd2 Nd 0.1888 0.4842 0.2954
Nd3 Nd 0.1888 0.8934 0.7046
Nd4 Nd 0.3156 0.3171 0.6328
Nd5 Nd 0.3156 0.6829 0.9985
Nd6 Nd 0.4506 0.2218 0.2288
Nd7 Nd 0.5494 0.7782 0.7712
Nd8 Nd 0.6844 0.3171 0.0015
Nd9 Nd 0.6844 0.6829 0.3672
Nd10 Nd 0.8112 0.1066 0.2954
Nd11 Nd 0.8112 0.5158 0.7046
Nd12 Nd 0.9930 0.2218 0.7712
Co1 Co 0.1111 0.5000 0.6111
Co2 Co 0.3392 0.3392 0.0000
Co3 Co 0.6608 0.6608 0.0000
Co4 Co 0.8889 0.5000 0.3889
# Space-group type = Immm (71)
# Crystal system = orthorhombic
# Energy of formation = 0.02 eV/atom

Entry 8:
# SrPr2SmSe4 | the Alexandria database | PBE-GGA | optimized geometry
data_SrPr2SmSe4
_cell_length_a 7.4075
_cell_length_b 4.2481
_cell_length_c 7.4332
_cell_angle_alpha 90.00
_cell_angle_beta 109.04
_cell_angle_gamma 90.00
_space_group_name_H-M_alt 'P 1'
_space_group_IT_number 1
_space_group_name_Hall 'P 1'
loop_
_atom_site_label
_atom_site_type_symbol
_atom_site_fract_x
_atom_site_fract_y
_atom_site_fract_z
Sr1 Sr 0.0000 0.0000 0.0000
Pr1 Pr 0.0000 0.5000 0.5000
Pr2 Pr 0.5000 0.0000 0.5000
Sm1 Sm 0.5000 0.5000 0.0000
Se1 Se 0.2554 0.5000 0.2497
Se2 Se 0.2559 0.0000 0.7549
Se3 Se 0.7441 0.0000 0.2451
Se4 Se 0.7446 0.5000 0.7503
# Formation energy (no corrections) = -1.867 eV per atom
# Space-group type = P2/m (10)
# Crystal system = monoclinic

Entry 9:
# CaNiW2 | the Alexandria database | PBE-GGA | optimized geometry
data_CaNiW2
_cell_length_a 5.7007
_cell_length_b 5.7007
_cell_length_c 2.7254
_cell_angle_alpha 99.67
_cell_angle_beta 99.67
_cell_angle_gamma 124.32
_space_group_name_H-M_alt 'P 1'
_space_group_IT_number 1
_space_group_name_Hall 'P 1'
loop_
_atom_site_label
_atom_site_type_symbol
_atom_site_fract_x
_atom_site_fract_y
_atom_site_fract_z
Ca1 Ca 0.0000 0.0000 0.0000
Ni1 Ni 0.5000 0.5000 0.0000
W1 W 0.0000 0.5000 0.5000
W2 W 0.5000 0.0000 0.5000
# Energy above the lowest structure with this stoichiometry = 259.8 meV per atom
# Space-group type = C2/m (12)
# Crystal system = monoclinic
# Energy of formation = 0.70 eV/atom

Entry 10:
# AlPdPt | the Alexandria database | PBE-GGA | optimized geometry
data_AlPdPt
_cell_length_a 4.1191
_cell_length_b 4.1191
_cell_length_c 4.1191
_cell_angle_alpha 60.00
_cell_angle_beta 60.00
_cell_angle_gamma 60.00
_space_group_name_H-M_alt 'P 1'
_space_group_IT_number 1
_space_group_name_Hall 'P 1'
loop_
_atom_site_label
_atom_site_type_symbol
_atom_site_fract_x
_atom_site_fract_y
_atom_site_fract_z
Al1 Al 0.0000 0.0000 0.0000
Pd1 Pd 0.2500 0.2500 0.2500
Pt1 Pt 0.7500 0.7500 0.7500
# Energy above the lowest structure with this stoichiometry = 33.9 meV per atom
# Space-group type = F-43m (216)
# Crystal system = cubic
# Energy of formation = -0.76 eV/atom

Entry 11:
# Nd3Cu2Hg4 | the Alexandria database | PBE-GGA | optimized geometry
data_Nd3Cu2Hg4
_cell_length_a 6.0495
_cell_length_b 6.0495
_cell_length_c 9.0552
_cell_angle_alpha 114.35
_cell_angle_beta 114.35
_cell_angle_gamma 46.84
_space_group_name_H-M_alt 'P 1'
_space_group_IT_number 1
_space_group_name_Hall 'P 1'
loop_
_atom_site_label
_atom_site_type_symbol
_atom_site_fract_x
_atom_site_fract_y
_atom_site_fract_z
Nd1 Nd 0.0000 0.0000 0.0000
Nd2 Nd 0.3312 0.3312 0.3436
Nd3 Nd 0.6688 0.6688 0.6564
Cu1 Cu 0.3989 0.3989 0.7260
Cu2 Cu 0.6011 0.6011 0.2740
Hg1 Hg 0.0525 0.0525 0.3765
Hg2 Hg 0.2847 0.2847 0.9347
Hg3 Hg 0.7153 0.7153 0.0653
Hg4 Hg 0.9475 0.9475 0.6235
# Space-group type = C2/m (12)
# Crystal system = monoclinic
# Energy of formation = -0.34 eV/atom

What did the fifth record say?
# ErTm5Rh2 | the Alexandria database | PBE-GGA | optimized geometry
data_ErTm5Rh2
_cell_length_a 6.7453
_cell_length_b 6.7453
_cell_length_c 17.7571
_cell_angle_alpha 90.00
_cell_angle_beta 90.00
_cell_angle_gamma 147.84
_space_group_name_H-M_alt 'P 1'
_space_group_IT_number 1
_space_group_name_Hall 'P 1'
loop_
_atom_site_label
_atom_site_type_symbol
_atom_site_fract_x
_atom_site_fract_y
_atom_site_fract_z
Er1 Er 0.2280 0.7720 0.7500
Er2 Er 0.7720 0.2280 0.2500
Tm1 Tm 0.0462 0.9538 0.2500
Tm2 Tm 0.1717 0.8283 0.5593
Tm3 Tm 0.1717 0.8283 0.9407
Tm4 Tm 0.4397 0.5603 0.5880
Tm5 Tm 0.4397 0.5603 0.9120
Tm6 Tm 0.5603 0.4397 0.0880
Tm7 Tm 0.5603 0.4397 0.4120
Tm8 Tm 0.8283 0.1717 0.0593
Tm9 Tm 0.8283 0.1717 0.4407
Tm10 Tm 0.9538 0.0462 0.7500
Rh1 Rh 0.2012 0.7988 0.1370
Rh2 Rh 0.2012 0.7988 0.3630
Rh3 Rh 0.7988 0.2012 0.6370
Rh4 Rh 0.7988 0.2012 0.8630
# Space-group type = Cmcm (63)
# Crystal system = orthorhombic
# Energy of formation = -0.45 eV/atom